Record 1
CeDy2Ho4 after structural relaxation, computed with GGA-PBE.

Cell: 6.0876 12.8594 5.8677 Å, 90.00 90.00 90.00°
Element x y z (fractional)
Ce 0.0000 0.0000 0.0000
Ce 0.5000 0.5000 0.0000
Dy 0.0000 0.3911 0.5000
Dy 0.0000 0.6089 0.5000
Dy 0.5000 0.1089 0.5000
Dy 0.5000 0.8911 0.5000
Ho 0.0000 0.1400 0.5000
Ho 0.0000 0.2997 0.0000
Ho 0.0000 0.7003 0.0000
Ho 0.0000 0.8600 0.5000
Ho 0.5000 0.2003 0.0000
Ho 0.5000 0.3600 0.5000
Ho 0.5000 0.6400 0.5000
Ho 0.5000 0.7997 0.0000

Symmetry: Cmmm

Record 2
KAlPb after structural relaxation, computed with GGA-PBE.

Cell: 4.7261 4.7261 5.6483 Å, 90.00 90.00 120.00°
Element x y z (fractional)
K 0.0000 0.0000 0.0000
Al 0.3333 0.6667 0.5000
Pb 0.6667 0.3333 0.5000

Symmetry: P-6m2

Record 3
CoBi2Ru after structural relaxation, computed with GGA-PBE.

Cell: 6.0011 6.0011 11.8528 Å, 90.00 90.00 90.00°
Element x y z (fractional)
Co 0.0000 0.0000 0.0000
Co 0.0000 0.5000 0.2500
Co 0.5000 0.0000 0.7500
Co 0.5000 0.5000 0.5000
Bi 0.2348 0.2500 0.1250
Bi 0.2500 0.7348 0.3750
Bi 0.2500 0.7652 0.8750
Bi 0.2652 0.2500 0.6250
Bi 0.7348 0.7500 0.6250
Bi 0.7500 0.2348 0.8750
Bi 0.7500 0.2652 0.3750
Bi 0.7652 0.7500 0.1250
Ru 0.0000 0.0000 0.5000
Ru 0.0000 0.5000 0.7500
Ru 0.5000 0.0000 0.2500
Ru 0.5000 0.5000 0.0000

Symmetry: I-42d
Energy above the most stable polymorph in this dataset, eV/atom: 0.289

Listing ΔE_f for the structures above in their given order: 0.5490 0.0121 0.7916 eV per atom.
Listing V for the structures above in their given order: 32.81 36.42 26.68 Å³ per atom.